Record 1
{
  "formula": "SbTe",
  "functional": "PBE",
  "state": "optimized geometry",
  "total_magnetization_mub_per_fu": 0.00,
  "dos_at_fermi_per_ev_cell": 0.8,
  "raw_formation_energy_ev_per_atom": 0.19,
  "volume_a3_per_atom": 28.0,
  "space_group": "Pm-3m, No. 221",
  "polymorph_energy_mev_per_atom": 291,
  "lattice_angstrom": [[-3.184, -0.860, 1.938], [-1.231, -2.097, -2.953], [1.726, -3.082, 1.468]],
  "species": ["Sb", "Te"],
  "frac_coords": [[0.000, 0.000, 0.000], [0.500, 0.500, 0.500]]
}


Record 2
{
  "formula": "Sr5HoSb4",
  "functional": "PBE",
  "state": "optimized geometry",
  "total_magnetization_mub_per_fu": 1.03,
  "dos_at_fermi_per_ev_cell": 4.6,
  "raw_formation_energy_ev_per_atom": -0.87,
  "volume_a3_per_atom": 40.3,
  "space_group": "C2/m, No. 12",
  "lattice_angstrom": [[-3.930, 0.354, 2.764], [4.382, -3.510, 6.681], [2.537, 10.330, -1.916]],
  "species": ["Sr", "Sr", "Sr", "Sr", "Sr", "Ho", "Sb", "Sb", "Sb", "Sb"],
  "frac_coords": [[0.833, 0.586, 0.666], [0.833, 0.079, 0.666], [0.167, 0.921, 0.334], [0.500, 0.500, 0.000], [0.167, 0.414, 0.334], [0.500, 0.000, 0.000], [0.308, 0.807, 0.616], [0.000, 0.764, 0.000], [0.692, 0.193, 0.384], [0.000, 0.236, 0.000]]
}


Record 3
{
  "formula": "ReSF3",
  "functional": "PBE",
  "state": "optimized geometry",
  "total_magnetization_mub_per_fu": 5.77,
  "dos_at_fermi_per_ev_cell": 2.6,
  "raw_formation_energy_ev_per_atom": 0.55,
  "volume_a3_per_atom": 16.6,
  "space_group": "Pm-3m, No. 221",
  "polymorph_energy_mev_per_atom": 903,
  "lattice_angstrom": [[-1.948, 3.247, 2.169], [-3.730, -2.265, 0.042], [1.157, -1.835, 3.786]],
  "species": ["Re", "S", "F", "F", "F"],
  "frac_coords": [[0.500, 0.500, 0.500], [0.000, 0.000, 0.000], [0.000, 0.500, 0.000], [0.000, 0.000, 0.500], [0.500, 0.000, 0.000]]
}


Record 4
{
  "formula": "Pa2InHg",
  "functional": "PBE",
  "state": "optimized geometry",
  "total_magnetization_mub_per_fu": 0.84,
  "dos_at_fermi_per_ev_cell": 7.6,
  "volume_a3_per_atom": 24.0,
  "ef_ev_per_fu": 0.1,
  "space_group": "P4/mmm, No. 123",
  "polymorph_energy_mev_per_atom": 74,
  "lattice_angstrom": [[-4.316, -2.620, 0.403], [2.256, -3.725, -0.051], [0.322, 0.136, 4.341]],
  "species": ["Pa", "Pa", "Hg", "In"],
  "frac_coords": [[0.000, 0.000, 0.500], [0.000, 0.500, 0.000], [0.500, 0.500, 0.500], [0.500, 0.000, 0.000]]
}


What did the third record say?
{
  "formula": "ReSF3",
  "functional": "PBE",
  "state": "optimized geometry",
  "total_magnetization_mub_per_fu": 5.77,
  "dos_at_fermi_per_ev_cell": 2.6,
  "raw_formation_energy_ev_per_atom": 0.55,
  "volume_a3_per_atom": 16.6,
  "space_group": "Pm-3m, No. 221",
  "polymorph_energy_mev_per_atom": 903,
  "lattice_angstrom": [[-1.948, 3.247, 2.169], [-3.730, -2.265, 0.042], [1.157, -1.835, 3.786]],
  "species": ["Re", "S", "F", "F", "F"],
  "frac_coords": [[0.500, 0.500, 0.500], [0.000, 0.000, 0.000], [0.000, 0.500, 0.000], [0.000, 0.000, 0.500], [0.500, 0.000, 0.000]]
}